Record 1
Density functional theory data (GGA-PBE) for a geometry-optimized CsCrCu3 structure.

Properties
DFT total energy: -18.253 eV per formula unit

Unit cell a=5.020 b=5.020 c=5.020 alpha=90.00 beta=90.00 gamma=90.00
Sites, in units of the cell vectors:
1 Cs 0.000 0.000 0.000
2 Cr 0.500 0.500 0.500
3 Cu 0.000 0.500 0.500
4 Cu 0.500 0.000 0.500
5 Cu 0.500 0.500 0.000

Record 2
Density functional theory data (GGA-PBE) for a geometry-optimized TaIr2I structure.

Properties
DFT total energy: -27.925 eV per formula unit
formation energy without anion corrections: 0.800 eV/atom

Unit cell a=4.689 b=4.689 c=4.689 alpha=60.00 beta=60.00 gamma=60.00
Sites, in units of the cell vectors:
1 Ta 0.000 0.000 0.000
2 Ir 0.250 0.250 0.250
3 Ir 0.750 0.750 0.750
4 I 0.500 0.500 0.500

Record 3
Density functional theory data (GGA-PBE) for a geometry-optimized ZrCuW2 structure.

Properties
DFT total energy: -38.059 eV per formula unit

Unit cell a=3.272 b=3.272 c=6.248 alpha=90.00 beta=90.00 gamma=90.00
Sites, in units of the cell vectors:
1 Zr 0.000 0.000 0.000
2 Cu 0.500 0.500 0.262
3 W 0.000 0.000 0.494
4 W 0.500 0.500 0.718